[1]
VASP calculation (GGA-PBEsol) on SrBiIO2 after structural relaxation.

Lattice parameters (Å, degrees): 4.551 4.551 5.965 90.00 90.00 90.00
Positions (direct):
Sr 0.000 0.000 0.000
Bi 0.500 0.500 0.500
I 0.500 0.500 0.000
O 0.000 0.500 0.500
O 0.500 0.000 0.500

Summary:
Total magnetic moment: 0.00 μB/f.u.
E_tot: -4.594 eV/atom
Density of states at the Fermi level: 0.18 states/eV/atom



[2]
VASP calculation (GGA-PBEsol) on TbBi2IO4 after structural relaxation.

Lattice parameters (Å, degrees): 3.902 3.902 9.486 90.00 90.00 90.00
Positions (direct):
Tb 0.000 0.000 0.000
Bi 0.500 0.500 0.260
Bi 0.500 0.500 0.740
I 0.000 0.000 0.500
O 0.000 0.500 0.144
O 0.000 0.500 0.856
O 0.500 0.000 0.144
O 0.500 0.000 0.856

Summary:
Total magnetic moment: 0.00 μB/f.u.
E_tot: -6.514 eV/atom



[3]
VASP calculation (GGA-PBEsol) on BiWI2O after structural relaxation.

Lattice parameters (Å, degrees): 5.628 5.628 3.801 90.00 90.00 90.00
Positions (direct):
Bi 0.000 0.000 0.000
W 0.500 0.500 0.500
I 0.000 0.500 0.500
I 0.500 0.000 0.500
O 0.500 0.500 0.000

Summary:
Total magnetic moment: 0.55 μB/f.u.
E_tot: -5.452 eV/atom
Density of states at the Fermi level: 0.95 states/eV/atom



What is the E_tot in the second record?
-6.514 eV/atom



Which formula does entry 1 have?
SrBiIO2